Computed, not measured: an optimized crystal structure of Zn4Si23 at the PBE level of DFT.

## Properties
Spin magnetization ... 0.00 μB per formula unit
Formation energy (no corrections) ... 0.14 eV per atom
Density of states at the Fermi level ... 0.0476 states/eV/atom
Symmetry ... Pm-3n
ρ ... 2.8 Mg/m³
Volume ... 19.8 Å³ per atom

a = 10.227 Å, b = 10.227 Å, c = 10.227 Å
α = 90.00°, β = 90.00°, γ = 90.00°
Sites, in units of the cell vectors:
Zn: 0.000 0.000 0.000
Zn: 0.000 0.250 0.500
Zn: 0.000 0.750 0.500
Zn: 0.250 0.500 0.000
Zn: 0.500 0.000 0.250
Zn: 0.500 0.000 0.750
Zn: 0.500 0.500 0.500
Zn: 0.750 0.500 0.000
Si: 0.000 0.308 0.117
Si: 0.000 0.308 0.883
Si: 0.000 0.500 0.250
Si: 0.000 0.500 0.750
Si: 0.000 0.692 0.117
Si: 0.000 0.692 0.883
Si: 0.117 0.000 0.308
Si: 0.117 0.000 0.692
Si: 0.184 0.184 0.184
Si: 0.184 0.184 0.816
Si: 0.184 0.816 0.184
Si: 0.184 0.816 0.816
Si: 0.192 0.500 0.383
Si: 0.192 0.500 0.617
Si: 0.250 0.000 0.500
Si: 0.308 0.117 0.000
Si: 0.308 0.883 0.000
Si: 0.316 0.316 0.316
Si: 0.316 0.316 0.684
Si: 0.316 0.684 0.316
Si: 0.316 0.684 0.684
Si: 0.383 0.192 0.500
Si: 0.383 0.808 0.500
Si: 0.500 0.250 0.000
Si: 0.500 0.383 0.192
Si: 0.500 0.383 0.808
Si: 0.500 0.617 0.192
Si: 0.500 0.617 0.808
Si: 0.500 0.750 0.000
Si: 0.617 0.192 0.500
Si: 0.617 0.808 0.500
Si: 0.684 0.316 0.316
Si: 0.684 0.316 0.684
Si: 0.684 0.684 0.316
Si: 0.684 0.684 0.684
Si: 0.692 0.117 0.000
Si: 0.692 0.883 0.000
Si: 0.750 0.000 0.500
Si: 0.808 0.500 0.383
Si: 0.808 0.500 0.617
Si: 0.816 0.184 0.184
Si: 0.816 0.184 0.816
Si: 0.816 0.816 0.184
Si: 0.816 0.816 0.816
Si: 0.883 0.000 0.308
Si: 0.883 0.000 0.692

***

Computed, not measured: an optimized crystal structure of CaTeNF2 at the PBE level of DFT.

## Properties
Spin magnetization ... 0.72 μB per formula unit
Formation energy (no corrections) ... -1.03 eV per atom
Density of states at the Fermi level ... 0.4717 states/eV/atom
Symmetry ... P4/mmm
ρ ... 4.0 Mg/m³
Volume ... 18.3 Å³ per atom

a = 4.146 Å, b = 4.146 Å, c = 5.338 Å
α = 90.00°, β = 90.00°, γ = 90.00°
Sites, in units of the cell vectors:
Ca: 0.000 0.000 0.000
Te: 0.500 0.500 0.500
N: 0.000 0.000 0.500
F: 0.000 0.500 0.000
F: 0.500 0.000 0.000

***

Computed, not measured: an optimized crystal structure of Al2GaPd at the PBE level of DFT.

## Properties
VASP energy ... -4.055 eV/atom
Spin magnetization ... 0.00 μB per formula unit
Density of states at the Fermi level ... 0.4760 states/eV/atom
Symmetry ... I-42d
ρ ... 5.1 Mg/m³
Volume ... 18.9 Å³ per atom

a = 7.817 Å, b = 7.817 Å, c = 4.952 Å
α = 90.00°, β = 90.00°, γ = 90.00°
Sites, in units of the cell vectors:
Al: 0.188 0.250 0.125
Al: 0.250 0.688 0.375
Al: 0.250 0.812 0.875
Al: 0.312 0.250 0.625
Al: 0.688 0.750 0.625
Al: 0.750 0.188 0.875
Al: 0.750 0.312 0.375
Al: 0.812 0.750 0.125
Ga: 0.000 0.000 0.500
Ga: 0.000 0.500 0.750
Ga: 0.500 0.000 0.250
Ga: 0.500 0.500 0.000
Pd: 0.000 0.000 0.000
Pd: 0.000 0.500 0.250
Pd: 0.500 0.000 0.750
Pd: 0.500 0.500 0.500

***

Computed, not measured: an optimized crystal structure of CaSc2Al at the PBE level of DFT.

## Properties
VASP energy ... -4.645 eV/atom
Spin magnetization ... 0.01 μB per formula unit
Density of states at the Fermi level ... 1.1222 states/eV/atom
Symmetry ... Pmm2
ρ ... 2.6 Mg/m³
Volume ... 24.9 Å³ per atom

a = 3.299 Å, b = 4.529 Å, c = 6.676 Å
α = 90.00°, β = 90.00°, γ = 90.00°
Sites, in units of the cell vectors:
Ca: 0.000 0.000 0.000
Sc: 0.000 0.000 0.525
Sc: 0.500 0.500 0.299
Al: 0.500 0.500 0.737

***

Computed, not measured: an optimized crystal structure of MgSiIr2 at the PBE level of DFT.

## Properties
Spin magnetization ... 0.00 μB per formula unit
Formation energy (no corrections) ... -0.32 eV per atom
Density of states at the Fermi level ... 0.5545 states/eV/atom
Symmetry ... Pmm2
ρ ... 12.6 Mg/m³
Volume ... 14.4 Å³ per atom

a = 2.828 Å, b = 3.879 Å, c = 5.255 Å
α = 90.00°, β = 90.00°, γ = 90.00°
Sites, in units of the cell vectors:
Mg: 0.000 0.000 0.000
Si: 0.500 0.500 0.296
Ir: 0.000 0.000 0.485
Ir: 0.500 0.500 0.802

***

Computed, not measured: an optimized crystal structure of Zr3MoRh at the PBE level of DFT.

## Properties
VASP energy ... -7.924 eV/atom
Spin magnetization ... 0.00 μB per formula unit
Density of states at the Fermi level ... 1.6405 states/eV/atom
Symmetry ... Pm-3m
ρ ... 6.4 Mg/m³
Volume ... 24.4 Å³ per atom

a = 4.957 Å, b = 4.957 Å, c = 4.957 Å
α = 90.00°, β = 90.00°, γ = 90.00°
Sites, in units of the cell vectors:
Zr: 0.000 0.000 0.500
Zr: 0.000 0.500 0.000
Zr: 0.500 0.000 0.000
Mo: 0.000 0.000 0.000
Rh: 0.500 0.500 0.500

***

Computed, not measured: an optimized crystal structure of YTa2Au at the PBE level of DFT.

## Properties
VASP energy ... -7.969 eV/atom
Spin magnetization ... 0.00 μB per formula unit
Density of states at the Fermi level ... 1.3153 states/eV/atom
Symmetry ... I-42d
ρ ... 12.4 Mg/m³
Volume ... 21.7 Å³ per atom

a = 4.006 Å, b = 4.006 Å, c = 21.649 Å
α = 90.00°, β = 90.00°, γ = 90.00°
Sites, in units of the cell vectors:
Y: 0.000 0.000 0.000
Y: 0.000 0.500 0.250
Y: 0.500 0.000 0.750
Y: 0.500 0.500 0.500
Ta: 0.246 0.250 0.625
Ta: 0.250 0.746 0.875
Ta: 0.250 0.754 0.375
Ta: 0.254 0.250 0.125
Ta: 0.746 0.750 0.125
Ta: 0.750 0.246 0.375
Ta: 0.750 0.254 0.875
Ta: 0.754 0.750 0.625
Au: 0.000 0.000 0.500
Au: 0.000 0.500 0.750
Au: 0.500 0.000 0.250
Au: 0.500 0.500 0.000

***

Computed, not measured: an optimized crystal structure of K2RbH8 at the PBE level of DFT.

## Properties
VASP energy ... -2.587 eV/atom
Spin magnetization ... 0.21 μB per formula unit
Density of states at the Fermi level ... 0.3232 states/eV/atom
Symmetry ... Immm
ρ ... 1.4 Mg/m³
Volume ... 18.5 Å³ per atom

a = 8.043 Å, b = 8.043 Å, c = 8.043 Å
α = 149.37°, β = 129.25°, γ = 60.45°
Sites, in units of the cell vectors:
K: 0.146 0.146 0.000
K: 0.854 0.854 0.000
Rb: 0.500 0.500 0.000
H: 0.105 0.752 0.353
H: 0.237 0.000 0.237
H: 0.256 0.756 0.500
H: 0.400 0.752 0.647
H: 0.600 0.248 0.353
H: 0.744 0.244 0.500
H: 0.763 0.000 0.763
H: 0.895 0.248 0.647

***

Computed, not measured: an optimized crystal structure of Li2CdHg2 at the PBE level of DFT.

## Properties
VASP energy ... -1.324 eV/atom
Spin magnetization ... 0.00 μB per formula unit
Density of states at the Fermi level ... 0.3081 states/eV/atom
Symmetry ... C2/c
ρ ... 8.9 Mg/m³
Volume ... 19.7 Å³ per atom

a = 8.376 Å, b = 8.376 Å, c = 4.955 Å
α = 90.33°, β = 90.33°, γ = 34.56°
Sites, in units of the cell vectors:
Li: 0.142 0.653 0.749
Li: 0.347 0.858 0.751
Li: 0.653 0.142 0.249
Li: 0.858 0.347 0.251
Cd: 0.257 0.743 0.250
Cd: 0.743 0.257 0.750
Hg: 0.064 0.556 0.248
Hg: 0.444 0.936 0.252
Hg: 0.556 0.064 0.748
Hg: 0.936 0.444 0.752

***

Computed, not measured: an optimized crystal structure of V4Tc2Pd at the PBE level of DFT.

## Properties
VASP energy ... -7.811 eV/atom
Spin magnetization ... 3.45 μB per formula unit
Density of states at the Fermi level ... 1.5662 states/eV/atom
Symmetry ... I4/mmm
ρ ... 6.6 Mg/m³
Volume ... 18.1 Å³ per atom

a = 4.533 Å, b = 4.533 Å, c = 12.321 Å
α = 90.00°, β = 90.00°, γ = 90.00°
Sites, in units of the cell vectors:
V: 0.000 0.000 0.204
V: 0.000 0.000 0.796
V: 0.000 0.500 0.000
V: 0.000 0.500 0.500
V: 0.500 0.000 0.000
V: 0.500 0.000 0.500
V: 0.500 0.500 0.296
V: 0.500 0.500 0.704
Tc: 0.000 0.000 0.384
Tc: 0.000 0.000 0.616
Tc: 0.500 0.500 0.116
Tc: 0.500 0.500 0.884
Pd: 0.000 0.000 0.000
Pd: 0.500 0.500 0.500

***

Computed, not measured: an optimized crystal structure of Mg3Ni at the PBE level of DFT.

## Properties
VASP energy ... -2.725 eV/atom
Spin magnetization ... 0.00 μB per formula unit
Density of states at the Fermi level ... 0.3934 states/eV/atom
Symmetry ... P4/mmm
ρ ... 3.0 Mg/m³
Volume ... 18.2 Å³ per atom

a = 3.143 Å, b = 3.143 Å, c = 7.358 Å
α = 90.00°, β = 90.00°, γ = 90.00°
Sites, in units of the cell vectors:
Mg: 0.000 0.000 0.000
Mg: 0.500 0.500 0.302
Mg: 0.500 0.500 0.698
Ni: 0.000 0.000 0.500

***

Question: What is the ρ in the ninth record?
Answer: 8.9 Mg/m³

***

Question: What is the formula in the tenth record?
Answer: V4Tc2Pd